# MgMnMoH (GGA-PBE, relaxed)
# Total energy in Ha/atom: -0.2227
# Energy above the lowest structure with this stoichiometry in meV per atom: 104
data_MgMnMoH
_symmetry_space_group_name_H-M 'C 1 m 1'
_symmetry_Int_Tables_number 8
_cell_length_a 8.0881
_cell_length_b 4.2526
_cell_length_c 2.7373
_cell_angle_alpha 90.00
_cell_angle_beta 91.15
_cell_angle_gamma 90.00
loop_
_symmetry_equiv_pos_as_xyz
'x,y,z'
'x,-y,z'
'x+1/2,y+1/2,z'
'x+1/2,-y+1/2,z'
loop_
_atom_site_label
_atom_site_fract_x
_atom_site_fract_y
_atom_site_fract_z
_atom_site_occupancy
Mg1 0.0000 0.0000 0.0000 1
Mn1 0.3214 0.0000 0.3467 1
Mo1 0.1788 0.5000 0.5844 1
H1 0.4564 0.0000 0.8489 1


# CsUAlS4 (GGA-PBE, relaxed)
# Total energy in Ha/atom: -0.2180
# Uncorrected formation energy in eV/atom: -1.305
data_CsUAlS4
_symmetry_space_group_name_H-M 'P 1 21/m 1'
_symmetry_Int_Tables_number 11
_cell_length_a 6.4938
_cell_length_b 6.7587
_cell_length_c 9.5889
_cell_angle_alpha 90.00
_cell_angle_beta 109.18
_cell_angle_gamma 90.00
loop_
_symmetry_equiv_pos_as_xyz
'x,y,z'
'-x,-y,-z'
'-x,y+1/2,-z'
'x,-y+1/2,z'
loop_
_atom_site_label
_atom_site_fract_x
_atom_site_fract_y
_atom_site_fract_z
_atom_site_occupancy
Cs1 0.2351 0.2500 0.4424 1
U1 0.2799 0.2500 0.9532 1
Al1 0.2673 0.7500 0.1552 1
S1 0.0358 0.7500 0.9242 1
S2 0.0659 0.7500 0.3035 1
S3 0.4906 0.5027 0.8131 1


# Cs4U3TlS12 (GGA-PBE, relaxed)
# Total energy in Ha/atom: -0.2059
# Uncorrected formation energy in eV/atom: -1.143
data_Cs4U3TlS12
_symmetry_space_group_name_H-M 'I m -3 m'
_symmetry_Int_Tables_number 229
_symmetry_space_group_name_Hall '-I 4 2 3'
_cell_length_a 10.5776
_cell_length_b 10.5776
_cell_length_c 10.5776
_cell_angle_alpha 90.00
_cell_angle_beta 90.00
_cell_angle_gamma 90.00
loop_
_atom_site_label
_atom_site_fract_x
_atom_site_fract_y
_atom_site_fract_z
_atom_site_occupancy
Cs1 0.2500 0.2500 0.2500 1
U1 0.0000 0.0000 0.5000 1
Tl1 0.0000 0.0000 0.0000 1
S1 0.0000 0.0000 0.2695 1
S2 0.0000 0.2500 0.5000 1


# Sr4BAs4 (GGA-PBE, relaxed)
# Total energy in Ha/atom: -0.1610
# ΔE_f in eV per atom: -0.82
data_Sr4BAs4
_symmetry_space_group_name_H-M 'P 42/n m c'
_symmetry_Int_Tables_number 137
_cell_length_a 8.7849
_cell_length_b 8.7849
_cell_length_c 6.3868
_cell_angle_alpha 90.00
_cell_angle_beta 90.00
_cell_angle_gamma 90.00
loop_
_symmetry_equiv_pos_as_xyz
'x,y,z'
'-x,-y,-z'
'-y+1/2,x,z+1/2'
'y+1/2,-x,-z+1/2'
'-x+1/2,-y+1/2,z'
'x+1/2,y+1/2,-z'
'y,-x+1/2,z+1/2'
'-y,x+1/2,-z+1/2'
'x+1/2,-y,-z'
'-x+1/2,y,z'
'-y,-x,-z+1/2'
'y,x,z+1/2'
'-x,y+1/2,-z'
'x,-y+1/2,z'
'y+1/2,x+1/2,-z+1/2'
'-y+1/2,-x+1/2,z+1/2'
loop_
_atom_site_label
_atom_site_fract_x
_atom_site_fract_y
_atom_site_fract_z
_atom_site_occupancy
Sr1 0.0133 0.2500 0.0598 1
B1 0.2500 0.7500 0.2500 1
As1 0.0336 0.7500 0.4346 1


# Cr2SiMo (GGA-PBE, relaxed)
# Total energy in Ha/atom: -0.3247
# Uncorrected formation energy in eV/atom: 0.038
data_Cr2SiMo
_symmetry_space_group_name_H-M 'C m m 2'
_symmetry_Int_Tables_number 35
_cell_length_a 3.1074
_cell_length_b 4.2686
_cell_length_c 7.8665
_cell_angle_alpha 90.00
_cell_angle_beta 90.00
_cell_angle_gamma 90.00
loop_
_symmetry_equiv_pos_as_xyz
'x,y,z'
'-x,-y,z'
'-x,y,z'
'x,-y,z'
'x+1/2,y+1/2,z'
'-x+1/2,-y+1/2,z'
'-x+1/2,y+1/2,z'
'x+1/2,-y+1/2,z'
loop_
_atom_site_label
_atom_site_fract_x
_atom_site_fract_y
_atom_site_fract_z
_atom_site_occupancy
Cr1 0.0000 0.0000 0.0000 1
Cr2 0.0000 0.5000 0.2360 1
Si1 0.0000 0.0000 0.4698 1
Mo1 0.0000 0.5000 0.7328 1


# FeOs2RhCl (GGA-PBE, relaxed)
# Total energy in Ha/atom: -0.2243
# Uncorrected formation energy in eV/atom: 1.920
data_FeOs2RhCl
_symmetry_space_group_name_H-M 'P 4/m m m'
_symmetry_Int_Tables_number 123
_symmetry_space_group_name_Hall '-P 4 2'
_cell_length_a 4.4536
_cell_length_b 4.4536
_cell_length_c 4.6412
_cell_angle_alpha 90.00
_cell_angle_beta 90.00
_cell_angle_gamma 90.00
loop_
_atom_site_label
_atom_site_fract_x
_atom_site_fract_y
_atom_site_fract_z
_atom_site_occupancy
Fe1 0.0000 0.0000 0.0000 1
Os1 0.0000 0.5000 0.0000 1
Rh1 0.0000 0.0000 0.5000 1
Cl1 0.5000 0.5000 0.5000 1


# MgH3Ir4 (GGA-PBE, relaxed)
# Total energy in Ha/atom: -0.2144
# Energy above the lowest structure with this stoichiometry in meV per atom: 42
data_MgH3Ir4
_symmetry_space_group_name_H-M 'P 1'
_symmetry_Int_Tables_number 1
_cell_length_a 4.4004
_cell_length_b 5.0329
_cell_length_c 5.0501
_cell_angle_alpha 66.98
_cell_angle_beta 65.16
_cell_angle_gamma 65.21
loop_
_symmetry_equiv_pos_as_xyz
'x,y,z'
loop_
_atom_site_label
_atom_site_fract_x
_atom_site_fract_y
_atom_site_fract_z
_atom_site_occupancy
Mg1 0.0000 0.0000 0.0000 1
H1 0.5012 0.7541 0.7523 1
H2 0.8973 0.9644 0.5351 1
H3 0.9000 0.5318 0.9606 1
Ir1 0.3385 0.9551 0.4326 1
Ir2 0.3403 0.4332 0.9540 1
Ir3 0.6609 0.3649 0.3622 1
Ir4 0.9916 0.5422 0.5418 1


# Pu3ThPb4 (GGA-PBE, relaxed)
# Total energy in Ha/atom: -0.3045
# ΔE_f in eV per atom: -0.13
data_Pu3ThPb4
_symmetry_space_group_name_H-M 'P m m m'
_symmetry_Int_Tables_number 47
_cell_length_a 4.5722
_cell_length_b 5.0152
_cell_length_c 10.0284
_cell_angle_alpha 90.00
_cell_angle_beta 90.00
_cell_angle_gamma 90.00
loop_
_symmetry_equiv_pos_as_xyz
'x,y,z'
'-x,-y,-z'
'-x,-y,z'
'x,y,-z'
'x,-y,-z'
'-x,y,z'
'-x,y,-z'
'x,-y,z'
loop_
_atom_site_label
_atom_site_fract_x
_atom_site_fract_y
_atom_site_fract_z
_atom_site_occupancy
Pu1 0.0000 0.0000 0.0000 1
Pu2 0.0000 0.5000 0.2492 1
Th1 0.0000 0.0000 0.5000 1
Pb1 0.5000 0.0000 0.2459 1
Pb2 0.5000 0.5000 0.0000 1
Pb3 0.5000 0.5000 0.5000 1


# NaSrMnBr6 (GGA-PBE, relaxed)
# Total energy in Ha/atom: -0.1378
# Uncorrected formation energy in eV/atom: -1.282
data_NaSrMnBr6
_symmetry_space_group_name_H-M 'P 3 1 2'
_symmetry_Int_Tables_number 149
_cell_length_a 7.2648
_cell_length_b 7.2648
_cell_length_c 6.5607
_cell_angle_alpha 90.00
_cell_angle_beta 90.00
_cell_angle_gamma 120.00
loop_
_symmetry_equiv_pos_as_xyz
'x,y,z'
'-y,x-y,z'
'-x+y,-x,z'
'-y,-x,-z'
'-x+y,y,-z'
'x,x-y,-z'
loop_
_atom_site_label
_atom_site_fract_x
_atom_site_fract_y
_atom_site_fract_z
_atom_site_occupancy
Na1 0.0000 0.0000 0.0000 1
Sr1 0.3333 0.6667 0.5000 1
Mn1 0.6667 0.3333 0.5000 1
Br1 0.3775 0.0483 0.7328 1


# PaAlOs2 (GGA-PBE, relaxed)
# Total energy in Ha/atom: -0.3363
# ΔE_f in eV per atom: -0.23
# Energy above the lowest structure with this stoichiometry in meV per atom: 165
data_PaAlOs2
_symmetry_space_group_name_H-M 'F m -3 m'
_symmetry_Int_Tables_number 225
_symmetry_space_group_name_Hall '-F 4 2 3'
_cell_length_a 6.5759
_cell_length_b 6.5759
_cell_length_c 6.5759
_cell_angle_alpha 90.00
_cell_angle_beta 90.00
_cell_angle_gamma 90.00
loop_
_atom_site_label
_atom_site_fract_x
_atom_site_fract_y
_atom_site_fract_z
_atom_site_occupancy
Pa1 0.0000 0.0000 0.0000 1
Al1 0.0000 0.0000 0.5000 1
Os1 0.2500 0.2500 0.2500 1